An optimized crystal structure of VOs2W. Source: the Alexandria database, functional GGA-PBE.

Geometry as POSCAR:
```
VOs2W
1.0
3.819 0.000 0.000
0.000 3.917 0.000
0.000 0.000 3.917
Os W V
2 1 1
Direct
0.000 0.000 0.500
0.000 0.500 0.000
0.500 0.000 0.000
0.500 0.500 0.500
```

Properties
ΔH_f (0 K) = -13 meV per atom
calculated volume = 58.6 Å³/cell
magnetization = 0.00 μB/cell